*A*
## MnI2NO (PBE with a Hubbard U)

Data for a relaxed MnI2NO crystal.

CIF file:
```
data_MnI2NO
_chemical_formula_sum 'Mn1 I2 N1 O1'
_space_group_name_H-M_alt 'P 1'
_space_group_IT_number 1
_space_group_name_Hall 'P 1'
_cell_length_a 5.050
_cell_length_b 5.050
_cell_length_c 3.779
_cell_angle_alpha 90.00
_cell_angle_beta 90.00
_cell_angle_gamma 90.00
loop_
_atom_site_label
_atom_site_type_symbol
_atom_site_fract_x
_atom_site_fract_y
_atom_site_fract_z
Mn1 Mn 0.000 0.000 0.000
I1 I 0.000 0.500 0.500
I2 I 0.500 0.000 0.500
N1 N 0.500 0.500 0.500
O1 O 0.500 0.500 0.000
```

## Properties
As for the symmetry: P4/mmm (123).


*B*
## MnI2NO (PBE with a Hubbard U)

Data for a relaxed MnI2NO crystal.

CIF file:
```
data_MnI2NO
_chemical_formula_sum 'Mn1 I2 N1 O1'
_space_group_name_H-M_alt 'P 1'
_space_group_IT_number 1
_space_group_name_Hall 'P 1'
_cell_length_a 5.425
_cell_length_b 5.425
_cell_length_c 3.468
_cell_angle_alpha 90.00
_cell_angle_beta 90.00
_cell_angle_gamma 90.00
loop_
_atom_site_label
_atom_site_type_symbol
_atom_site_fract_x
_atom_site_fract_y
_atom_site_fract_z
Mn1 Mn 0.000 0.000 0.000
I1 I 0.000 0.500 0.000
I2 I 0.500 0.000 0.000
N1 N 0.500 0.500 0.500
O1 O 0.000 0.000 0.500
```

## Properties
As for the symmetry: P4/mmm (123).


*C*
## MnI2NO (PBE with a Hubbard U)

Data for a relaxed MnI2NO crystal.

CIF file:
```
data_MnI2NO
_chemical_formula_sum 'Mn1 I2 N1 O1'
_space_group_name_H-M_alt 'P 1'
_space_group_IT_number 1
_space_group_name_Hall 'P 1'
_cell_length_a 5.729
_cell_length_b 5.729
_cell_length_c 3.680
_cell_angle_alpha 90.00
_cell_angle_beta 90.00
_cell_angle_gamma 90.00
loop_
_atom_site_label
_atom_site_type_symbol
_atom_site_fract_x
_atom_site_fract_y
_atom_site_fract_z
Mn1 Mn 0.000 0.000 0.000
I1 I 0.000 0.500 0.000
I2 I 0.500 0.000 0.000
N1 N 0.000 0.000 0.500
O1 O 0.500 0.500 0.500
```

## Properties
As for the symmetry: P4/mmm (123).


Name the least stable of them. *B*.